Entry 1:
Density functional theory data (PBE) for a geometry-optimized Mg2CrPb2 structure.

a b c (Å): 7.2838 7.2838 4.3323
angles (deg): 90.00 90.00 90.00
Atoms (fractional coordinates):
Pb 0.8438 0.6562 0.0000
Pb 0.3438 0.8438 0.0000
Pb 0.6562 0.1562 0.0000
Pb 0.1562 0.3438 0.0000
Cr 0.5000 0.5000 0.0000
Cr 0.0000 0.0000 0.0000
Mg 0.6571 0.8429 0.5000
Mg 0.8429 0.3429 0.5000
Mg 0.1571 0.6571 0.5000
Mg 0.3429 0.1571 0.5000

Values from the calculation:
- Energy of formation: 539 meV/atom

=====

Entry 2:
Density functional theory data (PBE) for a geometry-optimized ReNiOs2 structure.

a b c (Å): 4.6355 4.6355 2.7280
angles (deg): 90.00 90.00 109.05
Atoms (fractional coordinates):
Re 0.5000 0.0000 0.5000
Os 0.0000 0.0000 0.0000
Os 0.5000 0.5000 0.0000
Ni 0.0000 0.5000 0.5000

Values from the calculation:
- ΔE to the lowest computed polymorph: 64 meV/atom
- Energy of formation: 166 meV/atom

=====

Entry 3:
Density functional theory data (PBE) for a geometry-optimized Pm5TlTe6 structure.

a b c (Å): 7.7918 7.7918 7.8898
angles (deg): 99.54 99.54 119.91
Atoms (fractional coordinates):
Te 0.5737 0.9145 0.7430
Te 0.7428 0.7428 0.2469
Te 0.0855 0.4263 0.2570
Te 0.9145 0.5737 0.7430
Te 0.4263 0.0855 0.2570
Te 0.2572 0.2572 0.7531
Pm 0.3335 0.6665 0.0000
Pm 0.1586 0.8414 0.5000
Pm 0.8414 0.1586 0.5000
Pm 0.6665 0.3335 0.0000
Pm 0.5000 0.5000 0.5000
Tl 0.0000 0.0000 0.0000

Values from the calculation:
- Uncorrected formation energy: -123 kJ/mol of atoms

=====

Entry 4:
Density functional theory data (PBE) for a geometry-optimized CaTmMgZn structure.

a b c (Å): 3.6540 3.6540 7.7578
angles (deg): 90.00 90.00 90.00
Atoms (fractional coordinates):
Mg 0.5000 0.5000 0.5918
Ca 0.0000 0.0000 0.8806
Zn 0.5000 0.5000 0.1279
Tm 0.0000 0.0000 0.3277

Values from the calculation:
- ΔE to the lowest computed polymorph: 0 meV/atom
- Energy of formation: -181 meV/atom

=====

Computed total moment, in the same sequence as the records: 0.00 0.00 0.00 0.00 μB per cell.